1.
The following is a PBE calculation of a relaxed structure of ErFe10Mo, from Alexandria.

The space group is Pmmm (No. 47) and the conventional cell measures 3.987, 4.784 and 8.244 Å, with angles of 90.00, 90.00 and 90.00 degrees. The inequivalent atoms are Er at (0.000, 0.000, 0.000), Fe at (0.000, 0.000, 0.345), Fe at (0.000, 0.500, 0.184), Fe at (0.500, 0.000, 0.500), Fe at (0.500, 0.254, 0.260), Fe at (0.500, 0.500, 0.000) and Mo at (0.000, 0.500, 0.500).

For the energy of formation from the pure elements, the calculation gives 0.1140 eV/atom. The density of states at the Fermi level comes out at 1.08 states/eV/atom.

=====

2.
The following is a PBE calculation of a relaxed structure of Lu2BeIn, from Alexandria.

The space group is P4/mmm (No. 123) and the conventional cell measures 3.444, 3.444 and 7.295 Å, with angles of 90.00, 90.00 and 90.00 degrees. The inequivalent atoms are Lu at (0.000, 0.000, 0.218), Be at (0.500, 0.500, 0.000) and In at (0.500, 0.500, 0.500).

For the energy of formation from the pure elements, the calculation gives -0.1836 eV/atom. As for the energy above the most stable polymorph in this dataset: 0 meV/atom. The density of states at the Fermi level comes out at 0.52 states/eV/atom.

=====

3.
The following is a PBE calculation of a relaxed structure of K2BaGeF, from Alexandria.

The space group is P4/mmm (No. 123) and the conventional cell measures 5.180, 5.180 and 5.751 Å, with angles of 90.00, 90.00 and 90.00 degrees. The inequivalent atoms are K at (0.000, 0.500, 0.000), Ba at (0.000, 0.000, 0.500), Ge at (0.500, 0.500, 0.500) and F at (0.000, 0.000, 0.000).

For the formation energy (no corrections), the calculation gives -1.147 eV/atom. The density of states at the Fermi level comes out at 0.98 states/eV/atom.

=====

> Which formula does entry 1 have?

ErFe10Mo